TlPb2Cl: optimized geometry, PBE-GGA.

Unit cell a=10.904 b=10.904 c=10.904 alpha=18.74 beta=18.74 gamma=18.74
Atoms (fractional coordinates):
Cl 0.750 0.750 0.750
Pb 0.009 0.009 0.009
Pb 0.491 0.491 0.491
Tl 0.250 0.250 0.250

Results
SG   R-3m, No. 166
Final energy   -12.68 eV per cell
Total magnetization   0.0 μB per cell
Density   9.3 g/cm³